[1]
First-principles (SCAN) data for a crystal of LiZrSi relaxed with PBEsol, as listed in the Alexandria database.

Values from the calculation:
E_tot, eV per atom: -14.55
Uncorrected formation energy, eV/atom: -0.183

a b c (Å): 2.770 3.686 5.338
angles (deg): 110.20 105.04 90.00
Fractional positions:
1 Li 0.029 0.029 0.057
2 Zr 0.321 0.321 0.642
3 Si 0.651 0.651 0.301

=====

[2]
First-principles (SCAN) data for a crystal of LiZr2Si relaxed with PBEsol, as listed in the Alexandria database.

Values from the calculation:
E_tot, eV per atom: -18.66
Uncorrected formation energy, eV/atom: -0.211

a b c (Å): 3.941 3.941 5.282
angles (deg): 111.91 111.91 90.00
Fractional positions:
1 Zr 0.000 0.000 0.000
2 Zr 0.750 0.250 0.500
3 Si 0.250 0.750 0.500
4 Li 0.500 0.500 0.000

=====

[3]
First-principles (SCAN) data for a crystal of LiZr2Si relaxed with PBEsol, as listed in the Alexandria database.

Values from the calculation:
E_tot, eV per atom: -18.57
Uncorrected formation energy, eV/atom: -0.122

a b c (Å): 3.172 3.965 5.870
angles (deg): 90.00 90.00 90.00
Fractional positions:
1 Zr 0.500 0.500 0.255
2 Zr 0.000 0.000 0.972
3 Li 0.000 0.000 0.516
4 Si 0.500 0.500 0.757

=====

no.,D(E_F) (states/eV per cell)
1,1.39
2,2.81
3,1.62